Entry 1:
Density functional theory data (PBE) for an optimized crystal structure of PmNdTlGe.

## Properties
- Volume: 27.2 A^3/atom
- DOS at the Fermi energy: 2.46 states/eV/cell
- Energy of formation from the pure elements: -0.4579 eV/atom
- Space-group type: F-43m

a b c (Å): 5.356 5.356 5.356
angles (deg): 60.00 60.00 60.00
Positions (direct):
Pm 0.000 0.000 0.000
Nd 0.500 0.500 0.500
Tl 0.750 0.750 0.750
Ge 0.250 0.250 0.250



Entry 2:
Density functional theory data (PBE) for an optimized crystal structure of PmNd2Zn2Ge2.

## Properties
- Volume: 25.2 A^3/atom
- DOS at the Fermi energy: 5.35 states/eV/cell
- Energy of formation from the pure elements: -0.4926 eV/atom
- Space-group type: R-3m

a b c (Å): 11.793 11.793 11.793
angles (deg): 20.50 20.50 20.50
Positions (direct):
Pm 0.000 0.000 0.000
Nd 0.122 0.122 0.122
Nd 0.878 0.878 0.878
Zn 0.396 0.396 0.396
Zn 0.604 0.604 0.604
Ge 0.274 0.274 0.274
Ge 0.726 0.726 0.726



Entry 3:
Density functional theory data (PBE) for an optimized crystal structure of PrNd2Ge2.

## Properties
- Volume: 27.8 A^3/atom
- DOS at the Fermi energy: 7.71 states/eV/cell
- Relative energy among the computed polymorphs: 0.0830 eV/atom
- Energy of formation from the pure elements: -0.6392 eV/atom
- Space-group type: C2/m

a b c (Å): 6.737 6.737 10.825
angles (deg): 115.06 115.06 39.30
Positions (direct):
Pr 0.216 0.216 0.353
Pr 0.784 0.784 0.647
Nd 0.318 0.318 0.913
Nd 0.486 0.486 0.314
Nd 0.514 0.514 0.686
Nd 0.682 0.682 0.087
Ge 0.034 0.034 0.900
Ge 0.113 0.113 0.562
Ge 0.887 0.887 0.438
Ge 0.966 0.966 0.100



Entry 4:
Density functional theory data (PBE) for an optimized crystal structure of PrNd3Ge2.

## Properties
- Volume: 28.8 A^3/atom
- DOS at the Fermi energy: 7.95 states/eV/cell
- Relative energy among the computed polymorphs: 0.0100 eV/atom
- Energy of formation from the pure elements: -0.5525 eV/atom
- Space-group type: P-4m2

a b c (Å): 4.528 4.528 8.412
angles (deg): 90.00 90.00 90.00
Positions (direct):
Pr 0.000 0.000 0.000
Nd 0.000 0.500 0.359
Nd 0.500 0.000 0.641
Nd 0.500 0.500 0.000
Ge 0.000 0.500 0.722
Ge 0.500 0.000 0.278



Entry 5:
Density functional theory data (PBE) for an optimized crystal structure of Pr2NdGe.

## Properties
- Volume: 28.4 A^3/atom
- DOS at the Fermi energy: 4.28 states/eV/cell
- Relative energy among the computed polymorphs: 0.0867 eV/atom
- Energy of formation from the pure elements: -0.3393 eV/atom
- Space-group type: P4/mmm

a b c (Å): 4.839 4.839 4.857
angles (deg): 90.00 90.00 90.00
Positions (direct):
Pr 0.000 0.500 0.000
Pr 0.500 0.000 0.000
Nd 0.000 0.000 0.500
Ge 0.500 0.500 0.500



Entry 6:
Density functional theory data (PBE) for an optimized crystal structure of PrNd2Ge2.

## Properties
- Volume: 27.3 A^3/atom
- DOS at the Fermi energy: 11.79 states/eV/cell
- Relative energy among the computed polymorphs: 0.0000 eV/atom
- Energy of formation from the pure elements: -0.7222 eV/atom
- Space-group type: P4/mbm

a b c (Å): 7.944 7.944 4.327
angles (deg): 90.00 90.00 90.00
Positions (direct):
Pr 0.000 0.000 0.000
Pr 0.500 0.500 0.000
Nd 0.173 0.327 0.500
Nd 0.327 0.827 0.500
Nd 0.673 0.173 0.500
Nd 0.827 0.673 0.500
Ge 0.120 0.620 0.000
Ge 0.380 0.120 0.000
Ge 0.620 0.880 0.000
Ge 0.880 0.380 0.000



Question: What is the DOS at the Fermi energy in the third record?
Answer: 7.71 states/eV/cell